(1)
# Cd4Rh5

Crystalline Cd4Rh5 at its relaxed geometry (PBE, Alexandria via LeMat-Bulk).

a b c (Å): 7.9996 7.9996 5.4654
angles (deg): 90.00 90.00 60.00
Element x y z (fractional)
Cd  0.0000  0.0000  0.0000
Cd  0.3538  0.0000  0.2500
Cd  0.6462  0.3538  0.2500
Cd  0.0000  0.6462  0.2500
Cd  0.0000  0.0000  0.5000
Cd  0.3538  0.6462  0.7500
Cd  0.0000  0.3538  0.7500
Cd  0.6462  0.0000  0.7500
Rh  0.3177  0.0000  0.7500
Rh  0.6823  0.0000  0.2500
Rh  0.3177  0.6823  0.2500
Rh  0.6667  0.6667  0.0000
Rh  0.6667  0.6667  0.5000
Rh  0.0000  0.3177  0.2500
Rh  0.3333  0.3333  0.0000
Rh  0.6823  0.3177  0.7500
Rh  0.0000  0.6823  0.7500
Rh  0.3333  0.3333  0.5000

Summary:
Total moment, μB per formula unit: 0.036
Calculated formation energy, meV/atom: 93
SG: P6_3/mcm
Excess energy over the best structure of this formula in the dataset, meV per atom: 43

***

(2)
# Cd5Rh

Crystalline Cd5Rh at its relaxed geometry (PBE, Alexandria via LeMat-Bulk).

a b c (Å): 3.1300 8.1584 4.8053
angles (deg): 90.00 90.00 78.94
Element x y z (fractional)
Cd  0.9946  0.0108  0.0000
Cd  0.2364  0.5272  0.5000
Cd  0.3411  0.3178  0.0000
Cd  0.5405  0.9191  0.5000
Cd  0.6648  0.6705  0.0000
Rh  0.8894  0.2213  0.5000

Summary:
Total moment, μB per formula unit: 0.000
Calculated formation energy, meV/atom: -35
SG: Amm2
Excess energy over the best structure of this formula in the dataset, meV per atom: 49

***

(3)
# Cd5Rh

Crystalline Cd5Rh at its relaxed geometry (PBE, Alexandria via LeMat-Bulk).

a b c (Å): 3.2781 3.2781 11.3791
angles (deg): 90.00 90.00 90.00
Element x y z (fractional)
Cd  0.0000  0.0000  0.6950
Cd  0.0000  0.0000  0.3333
Cd  0.5000  0.5000  0.1513
Cd  0.0000  0.0000  0.9717
Cd  0.5000  0.5000  0.5154
Rh  0.5000  0.5000  0.8333

Summary:
Total moment, μB per formula unit: 0.000
Calculated formation energy, meV/atom: -28
SG: P4/mmm
Excess energy over the best structure of this formula in the dataset, meV per atom: 56

***

(4)
# Cd5Rh

Crystalline Cd5Rh at its relaxed geometry (PBE, Alexandria via LeMat-Bulk).

a b c (Å): 5.5798 5.5798 5.5798
angles (deg): 60.00 60.00 60.00
Element x y z (fractional)
Cd  0.3745  0.3745  0.8765
Cd  0.3745  0.8765  0.3745
Cd  0.8765  0.3745  0.3745
Cd  0.7500  0.7500  0.7500
Cd  0.3745  0.3745  0.3745
Rh  0.0000  0.0000  0.0000

Summary:
Total moment, μB per formula unit: 0.000
Calculated formation energy, meV/atom: 199
SG: F-43m
Excess energy over the best structure of this formula in the dataset, meV per atom: 282

***

(5)
# CdRh6

Crystalline CdRh6 at its relaxed geometry (PBE, Alexandria via LeMat-Bulk).

a b c (Å): 5.8458 5.8458 5.8458
angles (deg): 109.47 109.47 109.47
Element x y z (fractional)
Rh  0.2500  0.7500  0.5000
Rh  0.7500  0.2500  0.5000
Rh  0.5000  0.2500  0.7500
Rh  0.5000  0.7500  0.2500
Rh  0.2500  0.5000  0.7500
Rh  0.7500  0.5000  0.2500
Cd  0.0000  0.0000  0.0000

Summary:
Total moment, μB per formula unit: 0.000
Calculated formation energy, meV/atom: 884
SG: Im-3m

***

(6)
# Cd5Rh

Crystalline Cd5Rh at its relaxed geometry (PBE, Alexandria via LeMat-Bulk).

a b c (Å): 6.9187 6.9187 4.2213
angles (deg): 90.00 90.00 144.21
Element x y z (fractional)
Cd  0.8127  0.1873  0.5000
Cd  0.3138  0.6862  0.0000
Cd  0.6306  0.3694  0.0000
Cd  0.4722  0.5278  0.5000
Cd  0.1318  0.8682  0.5000
Rh  0.9723  0.0277  0.0000

Summary:
Total moment, μB per formula unit: 0.000
Calculated formation energy, meV/atom: -58
SG: Cmmm
Excess energy over the best structure of this formula in the dataset, meV per atom: 26

***

(7)
# Cd4Rh

Crystalline Cd4Rh at its relaxed geometry (PBE, Alexandria via LeMat-Bulk).

a b c (Å): 8.0082 8.0082 8.0082
angles (deg): 152.58 152.58 39.17
Element x y z (fractional)
Cd  0.4105  0.4105  0.0000
Cd  0.5895  0.5895  0.0000
Cd  0.7500  0.2500  0.5000
Cd  0.2500  0.7500  0.5000
Rh  0.0000  0.0000  0.0000

Summary:
Total moment, μB per formula unit: 0.001
Calculated formation energy, meV/atom: 292
SG: I4/mmm

***

(8)
# Cd4Rh5

Crystalline Cd4Rh5 at its relaxed geometry (PBE, Alexandria via LeMat-Bulk).

a b c (Å): 6.3886 6.3886 6.3886
angles (deg): 95.98 95.98 142.33
Element x y z (fractional)
Rh  0.0000  0.0000  0.0000
Rh  0.3406  0.3406  0.6811
Rh  0.3406  0.6594  0.0000
Rh  0.6594  0.6594  0.3189
Rh  0.6594  0.3406  0.0000
Cd  0.3194  0.0000  0.3194
Cd  0.0000  0.3194  0.3194
Cd  0.0000  0.6806  0.6806
Cd  0.6806  0.0000  0.6806

Summary:
Total moment, μB per formula unit: 0.046
Calculated formation energy, meV/atom: 50
SG: I4/mmm
Excess energy over the best structure of this formula in the dataset, meV per atom: 0

***

- What is the calculated formation energy in the fifth record?
  884 meV/atom

***

- What is the formula in the seventh record?
  Cd4Rh

***

- Which of these has the highest calculated formation energy?
  CdRh6